Entry 1:
Here is an optimized crystal structure of LaFeTe2S from Alexandria via LeMat-Bulk. Energies are from GGA-PBE.

Lattice parameters (Å, degrees): 5.3597 5.3597 4.3559 90.00 90.00 90.00
With the nearest neighbours (Å) after each atom.
Space group P4/mmm (No. 123)
Unique sites:
1 La 0.0000 0.0000 0.0000 [1 per cell]  8 Te 3.45, 4 S 3.79
2 Fe 0.5000 0.5000 0.5000 [1 per cell]  2 S 2.18
3 Te 0.0000 0.5000 0.5000 [2 per cell]  2 Fe 2.68
4 S 0.5000 0.5000 0.0000 [1 per cell]  2 Fe 2.18

## Properties
DOS at the Fermi energy, states/eV/f.u.: 5.6
Final energy, eV per cell: -27.072
Formation energy without anion corrections, eV per atom: -0.6541


Entry 2:
Here is an optimized crystal structure of Ca2Zn3Ni from Alexandria via LeMat-Bulk. Energies are from GGA-PBE.

Lattice parameters (Å, degrees): 10.3681 4.4478 7.2620 90.00 133.56 90.00
With the nearest neighbours (Å) after each atom.
Space group Cm (No. 8)
Unique sites:
1 Ca 0.0000 0.0000 0.0000 [2 per cell]  9 Zn 3.05-3.41, 3 Ni 3.07-3.09
2 Ca 0.1092 0.0000 0.6061 [2 per cell]  9 Zn 3.04-3.37, 3 Ni 3.24-3.32
3 Zn 0.2228 0.5000 0.3904 [2 per cell]  1 Ni 2.57, 3 Zn 2.64-2.79
4 Zn 0.3774 0.0000 0.1906 [2 per cell]  2 Ni 2.52, 2 Zn 2.79-2.80
5 Zn 0.4085 0.0000 0.6051 [2 per cell]  1 Ni 2.49, 2 Zn 2.64
6 Ni 0.2187 0.5000 0.0328 [2 per cell]  4 Zn 2.49-2.57

## Properties
DOS at the Fermi energy, states/eV/f.u.: 2.9
Final energy, eV per cell: -30.349


Entry 3:
Here is an optimized crystal structure of PrTlSnAu from Alexandria via LeMat-Bulk. Energies are from GGA-PBE.

Lattice parameters (Å, degrees): 7.4695 7.4695 7.4695 90.00 90.00 90.00
With the nearest neighbours (Å) after each atom.
Space group F-43m (No. 216)
Unique sites:
1 Pr 0.0000 0.0000 0.0000 [4 per cell]  4 Tl 3.23, 4 Au 3.23
2 Tl 0.2500 0.2500 0.2500 [4 per cell]  4 Sn 3.23, 4 Pr 3.23
3 Sn 0.0000 0.0000 0.5000 [4 per cell]  4 Au 3.23, 4 Tl 3.23
4 Au 0.2500 0.2500 0.7500 [4 per cell]  4 Sn 3.23, 4 Pr 3.23

## Properties
DOS at the Fermi energy, states/eV/f.u.: 2.3
Final energy, eV per cell: -63.867


Entry 4:
Here is an optimized crystal structure of Ca2ScFeI from Alexandria via LeMat-Bulk. Energies are from GGA-PBE.

Lattice parameters (Å, degrees): 5.8297 5.8297 4.6402 90.00 90.00 90.00
With the nearest neighbours (Å) after each atom.
Space group P4/mmm (No. 123)
Unique sites:
1 Ca 0.0000 0.5000 0.0000 [2 per cell]  2 I 2.91
2 Sc 0.0000 0.0000 0.5000 [1 per cell]  8 Ca 3.73, 4 Fe 4.12
3 Fe 0.5000 0.5000 0.5000 [1 per cell]  2 I 2.32
4 I 0.5000 0.5000 0.0000 [1 per cell]  2 Fe 2.32

## Properties
DOS at the Fermi energy, states/eV/f.u.: 9.1
Final energy, eV per cell: -17.042
Formation energy without anion corrections, eV per atom: 0.6610


Entry 5:
Here is an optimized crystal structure of Tm7Co2Sn2 from Alexandria via LeMat-Bulk. Energies are from GGA-PBE.

Lattice parameters (Å, degrees): 7.8242 10.6889 6.9574 90.00 90.00 90.00
With the nearest neighbours (Å) after each atom.
Space group Cmmm (No. 65)
Unique sites:
1 Tm 0.0000 0.0000 0.0000 [2 per cell]  2 Co 3.08
2 Tm 0.0000 0.5000 0.2258 [4 per cell]  2 Co 2.76
3 Tm 0.2500 0.2500 0.2395 [8 per cell]  2 Co 2.60
4 Co 0.0000 0.2877 0.0000 [4 per cell]  6 Tm 2.60-2.76
5 Sn 0.1853 0.0000 0.5000 [4 per cell]  1 Sn 2.90, 2 Tm 3.11

## Properties
DOS at the Fermi energy, states/eV/f.u.: 8.4
Final energy, eV per cell: -113.152


Entry 6:
Here is an optimized crystal structure of SmAgPbSe3 from Alexandria via LeMat-Bulk. Energies are from GGA-PBE.

Lattice parameters (Å, degrees): 8.5870 4.2017 9.3169 90.00 103.21 90.00
With the nearest neighbours (Å) after each atom.
Space group P2_1/m (No. 11)
Unique sites:
1 Sm 0.1750 0.2500 0.1713 [2 per cell]  6 Se 2.94-2.98
2 Ag 0.4101 0.7500 0.4159 [2 per cell]  4 Se 2.67-2.88, 2 Ag 2.85
3 Pb 0.3085 0.7500 0.7646 [2 per cell]  7 Se 3.14-3.29
4 Se 0.0688 0.2500 0.8436 [2 per cell]  3 Sm 2.95-2.98, 2 Pb 3.14
5 Se 0.2465 0.2500 0.4948 [2 per cell]  3 Ag 2.72-2.88, 1 Sm 2.94
6 Se 0.4006 0.7500 0.1270 [2 per cell]  1 Ag 2.67, 2 Sm 2.95

## Properties
Final energy, eV per cell: -55.149
Formation energy without anion corrections, eV per atom: -0.9737


Entry 7:
Here is an optimized crystal structure of KNaSnHg2 from Alexandria via LeMat-Bulk. Energies are from GGA-PBE.

Lattice parameters (Å, degrees): 5.8179 5.8179 5.8429 90.00 90.00 90.00
With the nearest neighbours (Å) after each atom.
Space group P4/mmm (No. 123)
Unique sites:
1 K 0.0000 0.0000 0.0000 [1 per cell]  4 Na 4.11, 8 Hg 4.12
2 Na 0.5000 0.5000 0.0000 [1 per cell]  2 Sn 2.92
3 Sn 0.5000 0.5000 0.5000 [1 per cell]  4 Hg 2.91, 2 Na 2.92
4 Hg 0.0000 0.5000 0.5000 [2 per cell]  2 Sn 2.91

## Properties
DOS at the Fermi energy, states/eV/f.u.: 4.1
Final energy, eV per cell: -7.275


Entry 8:
Here is an optimized crystal structure of HgIr2RhF from Alexandria via LeMat-Bulk. Energies are from GGA-PBE.

Lattice parameters (Å, degrees): 4.8151 4.8151 3.9774 90.00 90.00 90.00
With the nearest neighbours (Å) after each atom.
Space group P4/mmm (No. 123)
Unique sites:
1 Hg 0.0000 0.0000 0.0000 [1 per cell]  8 Ir 3.12, 4 F 3.40
2 Ir 0.0000 0.5000 0.5000 [2 per cell]  2 Rh 2.41
3 Rh 0.5000 0.5000 0.5000 [1 per cell]  2 F 1.99
4 F 0.5000 0.5000 0.0000 [1 per cell]  2 Rh 1.99

## Properties
DOS at the Fermi energy, states/eV/f.u.: 5.6
Final energy, eV per cell: -22.929
Formation energy without anion corrections, eV per atom: 0.8635